1.
First-principles (GGA-PBE) data for NaSr2BiH after structural relaxation, as listed in Alexandria.

The structure in CIF format:
```
data_NaSr2BiH
_chemical_formula_sum 'Na1 Sr2 Bi1 H1'
_symmetry_space_group_name_H-M 'P 1'
_symmetry_Int_Tables_number 1
_symmetry_space_group_name_Hall 'P 1'
_cell_length_a 5.351
_cell_length_b 5.351
_cell_length_c 4.829
_cell_angle_alpha 90.00
_cell_angle_beta 90.00
_cell_angle_gamma 90.00
loop_
_atom_site_label
_atom_site_type_symbol
_atom_site_fract_x
_atom_site_fract_y
_atom_site_fract_z
Sr1 Sr 0.500 0.000 0.000
Bi1 Bi 0.500 0.500 0.500
Na1 Na 0.000 0.000 0.500
Sr2 Sr 0.000 0.500 0.000
H1 H 0.000 0.000 0.000
```

Properties
Fermi-level density of states in states/eV/cell: 2.317
Electronic total energy in eV per atom: -2.889

---

2.
First-principles (GGA-PBE) data for Na2TiBiH after structural relaxation, as listed in Alexandria.

The structure in CIF format:
```
data_Na2TiBiH
_chemical_formula_sum 'Na2 Ti1 Bi1 H1'
_symmetry_space_group_name_H-M 'P 1'
_symmetry_Int_Tables_number 1
_symmetry_space_group_name_Hall 'P 1'
_cell_length_a 6.068
_cell_length_b 3.466
_cell_length_c 6.068
_cell_angle_alpha 90.00
_cell_angle_beta 90.00
_cell_angle_gamma 90.00
loop_
_atom_site_label
_atom_site_type_symbol
_atom_site_fract_x
_atom_site_fract_y
_atom_site_fract_z
H1 H 0.000 0.500 0.000
Na1 Na 0.500 0.000 0.000
Bi1 Bi 0.500 0.500 0.500
Na2 Na 0.000 0.000 0.500
Ti1 Ti 0.000 0.000 0.000
```

Properties
Fermi-level density of states in states/eV/cell: 2.843
Electronic total energy in eV per atom: -3.133

---

3.
First-principles (GGA-PBE) data for NaTlBi2H after structural relaxation, as listed in Alexandria.

The structure in CIF format:
```
data_NaTlBi2H
_chemical_formula_sum 'Na1 Tl1 Bi2 H1'
_symmetry_space_group_name_H-M 'P 1'
_symmetry_Int_Tables_number 1
_symmetry_space_group_name_Hall 'P 1'
_cell_length_a 4.898
_cell_length_b 4.898
_cell_length_c 5.270
_cell_angle_alpha 90.00
_cell_angle_beta 90.00
_cell_angle_gamma 90.00
loop_
_atom_site_label
_atom_site_type_symbol
_atom_site_fract_x
_atom_site_fract_y
_atom_site_fract_z
H1 H 0.000 0.000 0.000
Bi1 Bi 0.000 0.500 0.000
Tl1 Tl 0.500 0.500 0.500
Bi2 Bi 0.500 0.000 0.000
Na1 Na 0.000 0.000 0.500
```

Properties
E above lowest polymorph in eV per atom: 0.0000
Fermi-level density of states in states/eV/cell: 1.446
Electronic total energy in eV per atom: -2.912

---

4.
First-principles (GGA-PBE) data for NaTl2BiH after structural relaxation, as listed in Alexandria.

The structure in CIF format:
```
data_NaTl2BiH
_chemical_formula_sum 'Na1 Tl2 Bi1 H1'
_symmetry_space_group_name_H-M 'P 1'
_symmetry_Int_Tables_number 1
_symmetry_space_group_name_Hall 'P 1'
_cell_length_a 5.140
_cell_length_b 5.140
_cell_length_c 4.682
_cell_angle_alpha 90.00
_cell_angle_beta 90.00
_cell_angle_gamma 90.00
loop_
_atom_site_label
_atom_site_type_symbol
_atom_site_fract_x
_atom_site_fract_y
_atom_site_fract_z
Tl1 Tl 0.000 0.500 0.000
Tl2 Tl 0.500 0.000 0.000
H1 H 0.000 0.000 0.000
Bi1 Bi 0.500 0.500 0.500
Na1 Na 0.000 0.000 0.500
```

Properties
E above lowest polymorph in eV per atom: 0.0000
Fermi-level density of states in states/eV/cell: 1.750
Electronic total energy in eV per atom: -2.665

---

5.
First-principles (GGA-PBE) data for NaTlBi2H after structural relaxation, as listed in Alexandria.

The structure in CIF format:
```
data_NaTlBi2H
_chemical_formula_sum 'Na1 Tl1 Bi2 H1'
_symmetry_space_group_name_H-M 'P 1'
_symmetry_Int_Tables_number 1
_symmetry_space_group_name_Hall 'P 1'
_cell_length_a 4.905
_cell_length_b 4.905
_cell_length_c 5.316
_cell_angle_alpha 90.00
_cell_angle_beta 90.00
_cell_angle_gamma 90.00
loop_
_atom_site_label
_atom_site_type_symbol
_atom_site_fract_x
_atom_site_fract_y
_atom_site_fract_z
Bi1 Bi 0.500 0.000 0.000
H1 H 0.000 0.000 0.000
Bi2 Bi 0.000 0.500 0.000
Tl1 Tl 0.000 0.000 0.500
Na1 Na 0.500 0.500 0.500
```

Properties
E above lowest polymorph in eV per atom: 0.0144
Fermi-level density of states in states/eV/cell: 2.647
Electronic total energy in eV per atom: -2.898

---

6.
First-principles (GGA-PBE) data for NaTl2BiH after structural relaxation, as listed in Alexandria.

The structure in CIF format:
```
data_NaTl2BiH
_chemical_formula_sum 'Na1 Tl2 Bi1 H1'
_symmetry_space_group_name_H-M 'P 1'
_symmetry_Int_Tables_number 1
_symmetry_space_group_name_Hall 'P 1'
_cell_length_a 5.324
_cell_length_b 5.324
_cell_length_c 4.547
_cell_angle_alpha 90.00
_cell_angle_beta 90.00
_cell_angle_gamma 90.00
loop_
_atom_site_label
_atom_site_type_symbol
_atom_site_fract_x
_atom_site_fract_y
_atom_site_fract_z
H1 H 0.000 0.000 0.000
Tl1 Tl 0.000 0.500 0.000
Tl2 Tl 0.500 0.000 0.000
Bi1 Bi 0.000 0.000 0.500
Na1 Na 0.500 0.500 0.500
```

Properties
E above lowest polymorph in eV per atom: 0.0818
Fermi-level density of states in states/eV/cell: 1.173
Electronic total energy in eV per atom: -2.583

---

7.
First-principles (GGA-PBE) data for Na2YBiH after structural relaxation, as listed in Alexandria.

The structure in CIF format:
```
data_Na2YBiH
_chemical_formula_sum 'Na2 Y1 Bi1 H1'
_symmetry_space_group_name_H-M 'P 1'
_symmetry_Int_Tables_number 1
_symmetry_space_group_name_Hall 'P 1'
_cell_length_a 4.664
_cell_length_b 4.664
_cell_length_c 5.031
_cell_angle_alpha 90.00
_cell_angle_beta 90.00
_cell_angle_gamma 90.00
loop_
_atom_site_label
_atom_site_type_symbol
_atom_site_fract_x
_atom_site_fract_y
_atom_site_fract_z
Na1 Na 0.500 0.000 0.000
Na2 Na 0.000 0.500 0.000
Bi1 Bi 0.500 0.500 0.500
H1 H 0.000 0.000 0.000
Y1 Y 0.000 0.000 0.500
```

Properties
Fermi-level density of states in states/eV/cell: 2.796
Electronic total energy in eV per atom: -3.628

---

8.
First-principles (GGA-PBE) data for NbBiH after structural relaxation, as listed in Alexandria.

The structure in CIF format:
```
data_NbBiH
_chemical_formula_sum 'Nb2 Bi2 H2'
_symmetry_space_group_name_H-M 'P 1'
_symmetry_Int_Tables_number 1
_symmetry_space_group_name_Hall 'P 1'
_cell_length_a 3.098
_cell_length_b 3.323
_cell_length_c 20.535
_cell_angle_alpha 94.64
_cell_angle_beta 33.24
_cell_angle_gamma 90.00
loop_
_atom_site_label
_atom_site_type_symbol
_atom_site_fract_x
_atom_site_fract_y
_atom_site_fract_z
Bi1 Bi 0.504 0.086 0.173
Nb1 Nb 0.631 0.209 0.417
Bi2 Bi 0.496 0.914 0.827
H1 H 0.274 0.704 0.408
Nb2 Nb 0.369 0.791 0.583
H2 H 0.726 0.296 0.592
```

Properties
Fermi-level density of states in states/eV/cell: 3.595
Electronic total energy in eV per atom: -5.713